[1]
Compound: Al9Ga2Ag
Source: Alexandria via LeMat-Bulk
Functional: PBE
Structure: optimized geometry

```
12
Lattice="4.994 0.000 0.000 0.000 4.994 0.000 0.000 0.000 8.391" Properties=species:S:1:pos:R:3 pbc="T T T"
Al 0.000 0.000 0.000
Al 0.000 0.000 2.775
Al 0.000 0.000 5.616
Al 0.000 2.497 1.409
Al 0.000 2.497 4.195
Al 0.000 2.497 6.982
Al 2.497 0.000 1.409
Al 2.497 0.000 4.195
Al 2.497 0.000 6.982
Ga 2.497 2.497 2.804
Ga 2.497 2.497 5.587
Ag 2.497 2.497 0.000
```

Values from the calculation:
Space group: P4/mmm (123)
Energy of formation from the pure elements, eV/atom: 0.0746



[2]
Compound: CaAgRh
Source: Alexandria via LeMat-Bulk
Functional: PBE
Structure: optimized geometry

```
3
Lattice="4.636 0.000 0.000 -2.318 4.015 0.000 0.000 0.000 3.343" Properties=species:S:1:pos:R:3 pbc="T T T"
Ca 0.000 0.000 0.000
Ag 0.000 2.677 1.671
Rh 2.318 1.338 1.671
```

Values from the calculation:
Energy above the most stable polymorph in this dataset, meV per atom: 217
Space group: P-6m2 (187)
Energy of formation from the pure elements, eV/atom: -0.0900



[3]
Compound: PuInPb2
Source: Alexandria via LeMat-Bulk
Functional: PBE
Structure: optimized geometry

```
16
Lattice="7.737 0.000 0.000 0.000 7.737 0.000 0.000 0.000 7.737" Properties=species:S:1:pos:R:3 pbc="T T T"
Pu 0.000 0.000 0.000
Pu 0.000 3.869 3.869
Pu 3.869 0.000 3.869
Pu 3.869 3.869 0.000
In 0.000 0.000 3.869
In 0.000 3.869 0.000
In 3.869 0.000 0.000
In 3.869 3.869 3.869
Pb 1.934 1.934 1.934
Pb 1.934 1.934 5.803
Pb 1.934 5.803 1.934
Pb 1.934 5.803 5.803
Pb 5.803 1.934 1.934
Pb 5.803 1.934 5.803
Pb 5.803 5.803 1.934
Pb 5.803 5.803 5.803
```

Values from the calculation:
Energy above the most stable polymorph in this dataset, meV per atom: 208
Space group: Fm-3m (225)
Energy of formation from the pure elements, eV/atom: 0.0366



[4]
Compound: Pm4CoAg2
Source: Alexandria via LeMat-Bulk
Functional: PBE
Structure: optimized geometry

```
14
Lattice="5.183 0.000 0.000 0.000 5.183 0.000 0.000 0.000 15.263" Properties=species:S:1:pos:R:3 pbc="T T T"
Pm 0.000 0.000 2.755
Pm 0.000 0.000 12.508
Pm 0.000 2.591 0.000
Pm 0.000 2.591 7.632
Pm 2.591 0.000 0.000
Pm 2.591 0.000 7.632
Pm 2.591 2.591 4.877
Pm 2.591 2.591 10.386
Co 0.000 0.000 0.000
Co 2.591 2.591 7.632
Ag 0.000 0.000 5.739
Ag 0.000 0.000 9.524
Ag 2.591 2.591 1.893
Ag 2.591 2.591 13.371
```

Values from the calculation:
Energy above the most stable polymorph in this dataset, meV per atom: 111
Space group: I4/mmm (139)
Energy of formation from the pure elements, eV/atom: -0.0190



[5]
Compound: DyNi3Sn3
Source: Alexandria via LeMat-Bulk
Functional: PBE
Structure: optimized geometry

```
14
Lattice="6.883 0.000 0.000 0.000 6.883 0.000 0.000 0.000 6.883" Properties=species:S:1:pos:R:3 pbc="T T T"
Dy 0.000 0.000 0.000
Dy 3.441 3.441 3.441
Ni 0.000 1.721 3.441
Ni 0.000 5.162 3.441
Ni 1.721 3.441 0.000
Ni 3.441 0.000 1.721
Ni 3.441 0.000 5.162
Ni 5.162 3.441 0.000
Sn 0.000 3.441 1.721
Sn 0.000 3.441 5.162
Sn 1.721 0.000 3.441
Sn 3.441 1.721 0.000
Sn 3.441 5.162 0.000
Sn 5.162 0.000 3.441
```

Values from the calculation:
Space group: Pm-3n (223)
Energy of formation from the pure elements, eV/atom: 0.1247



[6]
Compound: Li8BiN2
Source: Alexandria via LeMat-Bulk
Functional: PBE
Structure: optimized geometry

```
11
Lattice="3.323 -5.290 0.000 3.323 5.290 0.000 -0.368 0.000 4.048" Properties=species:S:1:pos:R:3 pbc="T T T"
Li 0.341 0.000 2.948
Li 1.867 1.651 1.860
Li 3.323 2.994 0.000
Li 1.867 -1.651 1.860
Li 4.412 1.651 2.189
Li 3.323 -2.994 0.000
Li 4.412 -1.651 2.189
Li 5.938 0.000 1.100
Bi 3.323 0.000 0.000
N 3.139 3.451 2.024
N 3.139 -3.451 2.024
```

Values from the calculation:
Energy above the most stable polymorph in this dataset, meV per atom: 0
Formation energy from raw total energies, meV/atom: -357
Space group: C2/m (12)